1.
! NdScAu (PBE, optimized geometry); values from VASP
&SYSTEM
  ibrav = 0, nat = 3, ntyp = 3
/
ATOMIC_SPECIES
Au 196.97 Au.upf
Sc 44.96 Sc.upf
Nd 144.24 Nd.upf
CELL_PARAMETERS angstrom
-4.5290 0.4249 1.4025
-3.5304 -0.6413 -3.1280
-2.7715 -3.8587 0.2972
ATOMIC_POSITIONS crystal
Au 0.2500 0.2500 0.2500
Sc 0.0000 0.0000 0.0000
Nd 0.7500 0.7500 0.7500
! Space-group type: F-43m, No. 216
! Crystal system: cubic
! DFT formation energy in eV/atom: 0.022
! Energy above the most stable polymorph in this dataset in eV per formula unit: 1.89


2.
! Na2ErGa4 (PBE, optimized geometry); values from VASP
&SYSTEM
  ibrav = 0, nat = 7, ntyp = 3
/
ATOMIC_SPECIES
Ga 69.72 Ga.upf
Na 22.99 Na.upf
Er 167.26 Er.upf
CELL_PARAMETERS angstrom
-3.7036 3.7036 2.5695
3.7036 -3.7036 2.5695
3.7036 3.7036 -2.5695
ATOMIC_POSITIONS crystal
Ga 0.3120 0.6880 0.0000
Ga 0.3120 0.3120 0.6239
Ga 0.6880 0.3120 0.0000
Ga 0.6880 0.6880 0.3761
Na 0.2500 0.7500 0.5000
Na 0.7500 0.2500 0.5000
Er 0.0000 0.0000 0.0000
! Space-group type: I4/mmm, No. 139
! Crystal system: tetragonal
! Calculated total energy in eV per atom: -2.93


3.
! Na2PuZnS4 (PBE, optimized geometry); values from VASP
&SYSTEM
  ibrav = 0, nat = 8, ntyp = 4
/
ATOMIC_SPECIES
Pu 244.00 Pu.upf
Na 22.99 Na.upf
S 32.06 S.upf
Zn 65.41 Zn.upf
CELL_PARAMETERS angstrom
4.7959 -4.1570 0.0000
4.7959 4.1570 0.0000
-4.7784 0.0000 4.8502
ATOMIC_POSITIONS crystal
Pu 0.7334 0.2666 0.0000
Na 0.9848 0.0152 0.5000
Na 0.2347 0.7653 0.0000
S 0.3947 0.1769 0.5153
S 0.8231 0.6053 0.4847
S 0.1358 0.4051 0.0568
S 0.5948 0.8642 0.9432
Zn 0.4857 0.5143 0.5000
! Space-group type: C2, No. 5
! Crystal system: monoclinic
! Calculated total energy in eV per atom: -5.32